Compound: ZnSiAg2S4
Source: Alexandria via LeMat-Bulk
Functional: GGA-PBE
Structure: optimized geometry

Cell: 6.4987 7.0754 7.4042 Å, 90.00 90.00 90.00°
Positions (direct):
Zn  0.9917  0.1385  0.5000
Zn  0.4917  0.8615  0.0000
Si  0.4959  0.8363  0.5000
Si  0.9959  0.1637  0.0000
Ag  0.5128  0.3319  0.2593
Ag  0.5128  0.3319  0.7407
Ag  0.0128  0.6681  0.7593
Ag  0.0128  0.6681  0.2407
S  0.3260  0.1540  0.0000
S  0.8260  0.8460  0.5000
S  0.3576  0.1103  0.5000
S  0.8576  0.8897  0.0000
S  0.4016  0.6799  0.7377
S  0.9016  0.3201  0.2377
S  0.9016  0.3201  0.7623
S  0.4016  0.6799  0.2623

- ΔE_f (raw) (eV per atom) = -0.48
- space-group type = No. 31